[1]
Here is crystalline KRh3 at its relaxed geometry from Alexandria via LeMat-Bulk. Energies are from PBEsol.

The structure in CIF format:
```
data_KRh3
_cell_length_a 4.001
_cell_length_b 4.001
_cell_length_c 4.001
_cell_angle_alpha 90.00
_cell_angle_beta 90.00
_cell_angle_gamma 90.00
_symmetry_space_group_name_H-M 'P m -3 m'
_symmetry_Int_Tables_number 221
_symmetry_space_group_name_Hall '-P 4 2 3'
loop_
_atom_site_label
_atom_site_type_symbol
_atom_site_fract_x
_atom_site_fract_y
_atom_site_fract_z
_atom_site_occupancy
K1 K 0.000 0.000 0.000 1
Rh1 Rh 0.000 0.500 0.500 1
```

Results
V in Å³ per cell: 64.04
Formation energy from the elements in kJ/mol of formula units: 421


[2]
Here is crystalline KRhS3 at its relaxed geometry from Alexandria via LeMat-Bulk. Energies are from PBEsol.

The structure in CIF format:
```
data_KRhS3
_cell_length_a 4.691
_cell_length_b 4.691
_cell_length_c 4.691
_cell_angle_alpha 90.00
_cell_angle_beta 90.00
_cell_angle_gamma 90.00
_symmetry_space_group_name_H-M 'P m -3 m'
_symmetry_Int_Tables_number 221
_symmetry_space_group_name_Hall '-P 4 2 3'
loop_
_atom_site_label
_atom_site_type_symbol
_atom_site_fract_x
_atom_site_fract_y
_atom_site_fract_z
_atom_site_occupancy
K1 K 0.000 0.000 0.000 1
Rh1 Rh 0.500 0.500 0.500 1
S1 S 0.000 0.500 0.500 1
```

Results
E_form (uncorrected) in eV per atom: -0.147
V in Å³ per cell: 103.20


Which final energy belongs to each record? In order, -21.182 -23.161 eV per cell.
Which total moment belongs to each record? In order, 0.002 0.007 Bohr magnetons per cell.